Material: Ca3ScMn3O8
Method: DFT, PBE with a Hubbard U
State: optimized geometry

Values from the calculation:
The value obtained for the magnetization is 0.933 μB per atom. The value obtained for the density of states at the Fermi level is 10.4 states/eV/cell. The volume is 13.0 A^3/atom. The crystal system is monoclinic. The calculation puts the total energy at -7.36 eV per atom.

Unit cell a=10.945 b=6.538 c=6.621 alpha=90.00 beta=124.75 gamma=90.00
Space group C2/m (No. 12)
Asymmetric unit:
Ca 0.000 0.000 0.000 (multiplicity 2)
Ca 0.250 0.250 0.000 (multiplicity 4)
Sc 0.000 0.000 0.500 (multiplicity 2)
Mn 0.000 0.500 0.500 (multiplicity 2)
Mn 0.250 0.250 0.500 (multiplicity 4)
O 0.015 0.232 0.290 (multiplicity 8)
O 0.234 0.000 0.719 (multiplicity 4)
O 0.244 0.500 0.740 (multiplicity 4)